No. 1
Entry from Alexandria via LeMat-Bulk: a geometry-optimized LaRe5 structure (PBE-GGA).

Lattice parameters (Å, degrees): 5.3753 5.3753 5.3753 56.25 56.25 56.25
Last column: nearest neighbours and their distance in Å.
Element x y z (fractional)
La (0.0000, 0.0000, 0.0000)  12 Re 2.86-2.93
Re (0.3273, 0.3273, 0.3273)  9 Re 2.79-2.93, 3 La 2.93
Re (0.6727, 0.6727, 0.6727)  9 Re 2.79-2.93, 3 La 2.93
Re (0.8090, 0.1910, 0.5000)  6 Re 2.71-2.81, 2 La 2.86
Re (0.1910, 0.5000, 0.8090)  6 Re 2.71-2.81, 2 La 2.86
Re (0.5000, 0.8090, 0.1910)  6 Re 2.71-2.81, 2 La 2.86

Output
Size of the total moment ... 0.00 μB/f.u.
Polymorph energy (0 for the lowest one) ... 406 meV per atom
Formation energy ... 3.9 eV/f.u.
Crystal system ... trigonal



No. 2
Entry from Alexandria via LeMat-Bulk: a geometry-optimized Sr2PmOs2N6 structure (PBE-GGA).

Lattice parameters (Å, degrees): 6.0024 6.0024 7.0441 64.78 64.78 60.00
Last column: nearest neighbours and their distance in Å.
Element x y z (fractional)
Sr (0.7906, 0.7906, 0.6281)  9 N 2.77-3.06
Sr (0.2094, 0.2094, 0.3719)  9 N 2.77-3.06
Pm (0.0000, 0.0000, 0.0000)  6 N 2.42
Os (0.4033, 0.4033, 0.7901)  3 N 1.78
Os (0.5967, 0.5967, 0.2099)  3 N 1.78
N (0.7412, 0.7412, 0.2764)  1 Os 1.78
N (0.2412, 0.7412, 0.2764)  1 Os 1.78
N (0.7412, 0.2412, 0.2764)  1 Os 1.78
N (0.2588, 0.7588, 0.7236)  1 Os 1.78
N (0.7588, 0.2588, 0.7236)  1 Os 1.78
N (0.2588, 0.2588, 0.7236)  1 Os 1.78

Output
E_form (uncorrected) ... -404 meV per atom
Size of the total moment ... 0.00 μB/f.u.
Crystal system ... trigonal



No. 3
Entry from Alexandria via LeMat-Bulk: a geometry-optimized KNaZnIn2 structure (PBE-GGA).

Lattice parameters (Å, degrees): 5.3236 5.3236 5.7247 90.00 90.00 90.00
Last column: nearest neighbours and their distance in Å.
Element x y z (fractional)
Na (0.0000, 0.0000, 0.5000)  2 Zn 2.86
Zn (0.0000, 0.0000, 0.0000)  4 In 2.66, 2 Na 2.86
K (0.5000, 0.5000, 0.5000)  4 Na 3.76, 8 In 3.91
In (0.0000, 0.5000, 0.0000)  2 Zn 2.66
In (0.5000, 0.0000, 0.0000)  2 Zn 2.66

Output
Size of the total moment ... 0.00 μB/f.u.
Formation energy ... 0.2 eV/f.u.
Crystal system ... tetragonal



No. 4
Entry from Alexandria via LeMat-Bulk: a geometry-optimized Cs2Pm2Se5 structure (PBE-GGA).

Lattice parameters (Å, degrees): 8.1448 8.1396 9.9006 114.27 90.00 90.00
Last column: nearest neighbours and their distance in Å.
Element x y z (fractional)
Cs (0.0000, 0.2017, 0.4034)  7 Se 3.63-3.80
Cs (0.5000, 0.7017, 0.4034)  7 Se 3.63-3.80
Cs (0.0000, 0.7983, 0.5966)  7 Se 3.63-3.80
Cs (0.5000, 0.2983, 0.5966)  7 Se 3.63-3.80
Pm (0.6632, 0.8369, 0.0000)  8 Se 3.03-3.08
Pm (0.3368, 0.1631, 0.0000)  8 Se 3.03-3.08
Pm (0.1632, 0.6631, 0.0000)  8 Se 3.03-3.08
Pm (0.8368, 0.3369, 0.0000)  8 Se 3.03-3.08
Se (0.0000, 0.0000, 0.0000)  4 Pm 3.05
Se (0.5000, 0.5000, 0.0000)  4 Pm 3.05
Se (0.8680, 0.7376, 0.2106)  3 Pm 3.03-3.08, 1 Se 3.04
Se (0.1320, 0.4730, 0.2106)  3 Pm 3.03-3.08, 1 Se 3.04
Se (0.3680, 0.9730, 0.2106)  3 Pm 3.03-3.08, 1 Se 3.04
Se (0.6320, 0.2376, 0.2106)  3 Pm 3.03-3.08, 1 Se 3.04
Se (0.1320, 0.2624, 0.7894)  3 Pm 3.03-3.08, 1 Se 3.04
Se (0.8680, 0.5270, 0.7894)  3 Pm 3.03-3.08, 1 Se 3.04
Se (0.6320, 0.0270, 0.7894)  3 Pm 3.03-3.08, 1 Se 3.04
Se (0.3680, 0.7624, 0.7894)  3 Pm 3.03-3.08, 1 Se 3.04

Output
E_form (uncorrected) ... -1392 meV per atom
Size of the total moment ... 1.47 μB/f.u.
Crystal system ... orthorhombic



No. 5
Entry from Alexandria via LeMat-Bulk: a geometry-optimized Pm3Nd2Ni2 structure (PBE-GGA).

Lattice parameters (Å, degrees): 3.7500 6.4184 9.1479 113.60 90.00 106.99
Last column: nearest neighbours and their distance in Å.
Element x y z (fractional)
Pm (0.5000, 0.0000, 0.0000)  4 Ni 2.92
Pm (0.6158, 0.2316, 0.4290)  3 Ni 2.84-3.14
Pm (0.3842, 0.7684, 0.5710)  3 Ni 2.84-3.14
Nd (0.8337, 0.6674, 0.1925)  2 Ni 2.92
Nd (0.1663, 0.3326, 0.8075)  2 Ni 2.92
Ni (0.8349, 0.6697, 0.7682)  5 Pm 2.84-3.14, 2 Nd 2.92
Ni (0.1651, 0.3303, 0.2318)  5 Pm 2.84-3.14, 2 Nd 2.92

Output
Size of the total moment ... 0.00 μB/f.u.
Formation energy ... -1.3 eV/f.u.
Crystal system ... monoclinic



No. 6
Entry from Alexandria via LeMat-Bulk: a geometry-optimized Tb4Sb2C structure (PBE-GGA).

Lattice parameters (Å, degrees): 7.0180 6.6040 8.7062 90.00 108.35 90.00
Last column: nearest neighbours and their distance in Å.
Element x y z (fractional)
Tb (0.4928, 0.4998, 0.2624)  1 C 2.23
Tb (0.0979, 0.7500, 0.9249)  1 C 2.28
Tb (0.9021, 0.2500, 0.0751)  1 C 2.28
Tb (0.4928, 0.0002, 0.2624)  1 C 2.23
Tb (0.9199, 0.2500, 0.6317)  1 C 2.30
Tb (0.5072, 0.9998, 0.7376)  1 C 2.23
Tb (0.5072, 0.5002, 0.7376)  1 C 2.23
Tb (0.0801, 0.7500, 0.3683)  1 C 2.30
Sb (0.7251, 0.7500, 0.0543)  6 Tb 3.06-3.24
Sb (0.2749, 0.2500, 0.9457)  6 Tb 3.06-3.24
Sb (0.2282, 0.2500, 0.4327)  8 Tb 3.17-3.45
Sb (0.7718, 0.7500, 0.5673)  8 Tb 3.17-3.45
C (0.2686, 0.7500, 0.1952)  4 Tb 2.23-2.30
C (0.7314, 0.2500, 0.8048)  4 Tb 2.23-2.30

Output
E_form (uncorrected) ... -666 meV per atom
Size of the total moment ... 0.00 μB/f.u.
Polymorph energy (0 for the lowest one) ... 106 meV per atom
Crystal system ... monoclinic



No. 7
Entry from Alexandria via LeMat-Bulk: a geometry-optimized ZnMoW2 structure (PBE-GGA).

Lattice parameters (Å, degrees): 2.6533 4.3587 5.4686 90.00 90.00 90.00
Last column: nearest neighbours and their distance in Å.
Element x y z (fractional)
Mo (0.5000, 0.5000, 0.7500)  2 Mo 2.65, 2 Zn 2.73, 8 W 2.90
W (0.0000, 0.0000, 0.0026)  4 W 2.65-2.76, 4 Zn 2.89, 4 Mo 2.90
W (0.0000, 0.0000, 0.4974)  4 W 2.65-2.76, 4 Zn 2.89, 4 Mo 2.90
Zn (0.5000, 0.5000, 0.2500)  2 Zn 2.65, 2 Mo 2.73, 8 W 2.89

Output
Size of the total moment ... 0.00 μB/f.u.
Formation energy ... 1.3 eV/f.u.
Crystal system ... orthorhombic



No. 8
Entry from Alexandria via LeMat-Bulk: a geometry-optimized Pm4Ga2N structure (PBE-GGA).

Lattice parameters (Å, degrees): 3.7626 6.5068 7.5829 76.13 75.64 73.19
Last column: nearest neighbours and their distance in Å.
Element x y z (fractional)
Pm (0.0839, 0.1662, 0.6660)  1 N 2.48
Pm (0.9161, 0.8338, 0.3340)  1 N 2.48
Pm (0.3465, 0.2422, 0.0647)  2 N 2.51
Pm (0.6535, 0.7578, 0.9353)  2 N 2.51
Ga (0.3808, 0.5780, 0.6603)  1 Ga 2.71
Ga (0.6192, 0.4220, 0.3397)  1 Ga 2.71
N (0.0000, 0.0000, 0.0000)  6 Pm 2.48-2.51

Output
E_form (uncorrected) ... -743 meV per atom
Size of the total moment ... 0.00 μB/f.u.
Polymorph energy (0 for the lowest one) ... 0 meV per atom
Crystal system ... monoclinic